[1]
CaTcCl6 after structural relaxation. Source: the Alexandria database, functional PBE.

Structure (POSCAR):
```
CaTcCl6
1.0
4.230 -5.437 0.000
4.230 5.437 0.000
-2.617 0.000 6.267
Ca Tc Cl
1 1 6
Direct
0.000 0.000 0.000
0.000 0.000 0.500
0.031 0.724 0.234
0.246 0.246 0.412
0.276 0.969 0.766
0.724 0.031 0.234
0.754 0.754 0.588
0.969 0.276 0.766
```

- Energy relative to the lowest polymorph listed for this composition: 0.000 eV/atom
- Symmetry: C2/m

[2]
CaTc4Cl after structural relaxation. Source: the Alexandria database, functional PBE.

Structure (POSCAR):
```
CaTc4Cl
1.0
0.000 3.765 3.765
3.765 0.000 3.765
3.765 3.765 0.000
Ca Tc Cl
1 4 1
Direct
0.000 0.000 0.000
0.376 0.376 0.376
0.376 0.376 0.872
0.376 0.872 0.376
0.872 0.376 0.376
0.750 0.750 0.750
```

- Symmetry: F-43m

[3]
Ca2TcCl8 after structural relaxation. Source: the Alexandria database, functional PBE.

Structure (POSCAR):
```
Ca2TcCl8
1.0
7.202 -3.162 0.000
7.202 3.162 0.000
-0.118 0.000 6.838
Ca Tc Cl
2 1 8
Direct
0.138 0.138 0.036
0.862 0.862 0.964
0.000 0.000 0.500
0.162 0.162 0.438
0.224 0.729 0.244
0.271 0.776 0.756
0.310 0.310 0.928
0.690 0.690 0.072
0.729 0.224 0.244
0.776 0.271 0.756
0.838 0.838 0.562
```

- Symmetry: C2/m

[4]
Ca4TcCl after structural relaxation. Source: the Alexandria database, functional PBE.

Structure (POSCAR):
```
Ca4TcCl
1.0
0.000 4.720 4.720
4.720 0.000 4.720
4.720 4.720 0.000
Ca Tc Cl
4 1 1
Direct
0.377 0.377 0.377
0.377 0.377 0.870
0.377 0.870 0.377
0.870 0.377 0.377
0.750 0.750 0.750
0.000 0.000 0.000
```

- Symmetry: F-43m

[5]
CaTc2Cl after structural relaxation. Source: the Alexandria database, functional PBE.

Structure (POSCAR):
```
CaTc2Cl
1.0
-3.761 3.761 2.631
3.761 -3.761 2.631
3.761 3.761 -2.631
Ca Tc Cl
2 4 2
Direct
0.000 0.000 0.000
0.750 0.250 0.500
0.224 0.625 0.099
0.375 0.474 0.599
0.526 0.125 0.901
0.875 0.776 0.401
0.250 0.750 0.500
0.500 0.500 0.000
```

- Energy relative to the lowest polymorph listed for this composition: 0.975 eV/atom
- Symmetry: I-42d

[6]
CaTc2Cl after structural relaxation. Source: the Alexandria database, functional PBE.

Structure (POSCAR):
```
CaTc2Cl
1.0
0.000 3.241 3.241
3.241 0.000 3.241
3.241 3.241 0.000
Ca Tc Cl
1 2 1
Direct
0.000 0.000 0.000
0.250 0.250 0.250
0.750 0.750 0.750
0.500 0.500 0.500
```

- Energy relative to the lowest polymorph listed for this composition: 1.593 eV/atom
- Symmetry: Fm-3m

[7]
CaTc2Cl after structural relaxation. Source: the Alexandria database, functional PBE.

Structure (POSCAR):
```
CaTc2Cl
1.0
3.283 0.000 0.000
0.000 6.129 0.000
-0.096 0.000 4.035
Ca Tc Cl
1 2 1
Direct
0.000 0.000 0.000
0.288 0.500 0.233
0.712 0.500 0.767
0.500 0.000 0.500
```

- Energy relative to the lowest polymorph listed for this composition: 0.381 eV/atom
- Symmetry: P2/m

[8]
Ca2TcCl after structural relaxation. Source: the Alexandria database, functional PBE.

Structure (POSCAR):
```
Ca2TcCl
1.0
3.798 -3.797 0.000
3.798 3.797 0.000
-0.011 0.000 3.183
Ca Tc Cl
2 1 1
Direct
0.000 0.500 0.000
0.500 0.000 0.000
0.000 0.000 0.500
0.500 0.500 0.500
```

- Energy relative to the lowest polymorph listed for this composition: 0.216 eV/atom
- Symmetry: C2/m

[9]
Ca2TcCl after structural relaxation. Source: the Alexandria database, functional PBE.

Structure (POSCAR):
```
Ca2TcCl
1.0
-1.600 2.526 5.563
1.600 -2.526 5.563
1.600 2.526 -5.563
Ca Tc Cl
2 1 1
Direct
0.000 0.000 0.000
0.697 0.197 0.500
0.442 0.442 0.000
0.258 0.758 0.500
```

- Energy relative to the lowest polymorph listed for this composition: 0.351 eV/atom
- Symmetry: Imm2

[10]
Ca2TcCl after structural relaxation. Source: the Alexandria database, functional PBE.

Structure (POSCAR):
```
Ca2TcCl
1.0
-2.052 2.052 6.251
2.052 -2.052 6.251
2.052 2.052 -6.251
Ca Tc Cl
2 1 1
Direct
0.000 0.000 0.000
0.750 0.250 0.500
0.500 0.500 0.000
0.250 0.750 0.500
```

- Energy relative to the lowest polymorph listed for this composition: 0.499 eV/atom
- Symmetry: I-4m2

[11]
Ca2TcCl after structural relaxation. Source: the Alexandria database, functional PBE.

Structure (POSCAR):
```
Ca2TcCl
1.0
0.000 3.657 3.657
3.657 0.000 3.657
3.657 3.657 0.000
Ca Tc Cl
2 1 1
Direct
0.250 0.250 0.250
0.750 0.750 0.750
0.000 0.000 0.000
0.500 0.500 0.500
```

- Energy relative to the lowest polymorph listed for this composition: 0.513 eV/atom
- Symmetry: Fm-3m

[12]
Ca2TcCl after structural relaxation. Source: the Alexandria database, functional PBE.

Structure (POSCAR):
```
Ca2TcCl
1.0
-1.775 3.363 4.619
1.775 -3.363 4.619
1.775 3.363 -4.619
Ca Tc Cl
2 1 1
Direct
0.229 0.229 0.000
0.771 0.771 0.000
0.500 0.000 0.500
0.000 0.500 0.500
```

- Energy relative to the lowest polymorph listed for this composition: 0.452 eV/atom
- Symmetry: Immm

Number 1: raw formation energy -1.31 eV per atom. Number 2: raw formation energy 0.72 eV per atom. Number 3: raw formation energy -1.53 eV per atom. Number 4: raw formation energy 0.71 eV per atom. Number 5: raw formation energy 0.72 eV per atom. Number 6: raw formation energy 1.34 eV per atom. Number 7: raw formation energy 0.13 eV per atom. Number 8: raw formation energy -0.17 eV per atom. Number 9: raw formation energy -0.04 eV per atom. Number 10: raw formation energy 0.11 eV per atom. Number 11: raw formation energy 0.12 eV per atom. Number 12: raw formation energy 0.06 eV per atom.